1.
This record from Alexandria via LeMat-Bulk describes an optimized crystal structure of Ba5SmS6. The functional is GGA-PBE.

Cell lengths 7.727, 13.363, 7.707 Å; angles 90.00, 109.56, 90.00 degrees
Space group C2/m (No. 12)
Unique sites:
Ba (0.000, 0.000, 0.000) (multiplicity 2)
Ba (0.000, 0.166, 0.500) (multiplicity 4)
Ba (0.000, 0.330, 0.000) (multiplicity 4)
Sm (0.000, 0.500, 0.500) (multiplicity 2)
S (0.228, 0.500, 0.264) (multiplicity 4)
S (0.232, 0.346, 0.734) (multiplicity 8)

Summary:
Its uncorrected formation energy is -2.04 eV/atom. The density comes out at 4.56 Mg/m³.

***

2.
This record from Alexandria via LeMat-Bulk describes an optimized crystal structure of VGaSnPd2. The functional is GGA-PBE.

Cell lengths 4.910, 4.910, 4.980 Å; angles 90.00, 90.00, 90.00 degrees
Space group P4/mmm (No. 123)
Unique sites:
V (0.000, 0.000, 0.000) (multiplicity 1)
Ga (0.500, 0.500, 0.000) (multiplicity 1)
Sn (0.000, 0.000, 0.500) (multiplicity 1)
Pd (0.000, 0.500, 0.500) (multiplicity 2)

Summary:
Its formation energy is 433 kJ/mol of formula units. The density comes out at 6.25 Mg/m³.

***

3.
This record from Alexandria via LeMat-Bulk describes an optimized crystal structure of RbVCuTe2. The functional is GGA-PBE.

Cell lengths 6.257, 15.556, 6.367 Å; angles 90.00, 90.00, 90.00 degrees
Space group Cmme (No. 67)
Unique sites:
Rb (0.000, 0.250, 0.237) (multiplicity 4)
V (0.250, 0.000, 0.500) (multiplicity 4)
Cu (0.000, 0.000, 0.000) (multiplicity 4)
Te (0.000, 0.111, 0.723) (multiplicity 8)

Summary:
Its uncorrected formation energy is -0.32 eV/atom. The density comes out at 4.88 Mg/m³.

***

4.
This record from Alexandria via LeMat-Bulk describes an optimized crystal structure of MgZnInAg2. The functional is GGA-PBE.

Cell lengths 4.6512, 4.6512, 5.4512 Å; angles 90.00, 90.00, 120.00 degrees
Space group P3m1 (No. 156)
Unique sites:
Mg (0.0000, 0.0000, 0.0000) (multiplicity 1)
Zn (0.3333, 0.6667, 0.6818) (multiplicity 1)
In (0.6667, 0.3333, 0.4127) (multiplicity 1)
Ag (0.3333, 0.6667, 0.1809) (multiplicity 1)
Ag (0.6667, 0.3333, 0.9057) (multiplicity 1)

Summary:
Its formation energy is -39 kJ/mol of formula units. The energy above the most stable polymorph in this dataset comes out at 0.000 eV/atom. The density comes out at 6.83 Mg/m³.

***

5.
This record from Alexandria via LeMat-Bulk describes an optimized crystal structure of Cr3C4. The functional is GGA-PBE.

Cell lengths 5.4017, 5.4017, 2.6720 Å; angles 90.00, 90.00, 120.00 degrees
Space group P6/mmm (No. 191)
Unique sites:
Cr (0.0000, 0.5000, 0.0000) (multiplicity 3)
C (0.0000, 0.0000, 0.2513) (multiplicity 2)
C (0.3333, 0.6667, 0.5000) (multiplicity 2)

Summary:
Its formation energy is 503 kJ/mol of formula units. The energy above the most stable polymorph in this dataset comes out at 0.133 eV/atom. The density comes out at 5.02 Mg/m³.

***

6.
This record from Alexandria via LeMat-Bulk describes an optimized crystal structure of Tm2ScCu2. The functional is GGA-PBE.

Cell lengths 7.751, 7.751, 3.542 Å; angles 90.00, 90.00, 90.00 degrees
Space group P4/mbm (No. 127)
Unique sites:
Tm (0.168, 0.332, 0.000) (multiplicity 4)
Sc (0.000, 0.000, 0.500) (multiplicity 2)
Cu (0.124, 0.624, 0.500) (multiplicity 4)

Summary:
Its formation energy is -88 kJ/mol of formula units. The energy above the most stable polymorph in this dataset comes out at 0.000 eV/atom. The density comes out at 7.96 Mg/m³.